[1]
BeFe2Ni after structural relaxation. Source: Alexandria, functional PBE.

Properties
SG: P4/mmm (123)

a b c (Å): 2.4673 2.4673 6.7596
angles (deg): 90.00 90.00 90.00
With the nearest neighbours (Å) after each atom.
Atoms (fractional coordinates):
Be (0.0000, 0.0000, 0.0000)  8 Fe 2.34, 4 Be 2.47
Fe (0.5000, 0.5000, 0.2299)  4 Be 2.34, 4 Fe 2.47, 4 Ni 2.53
Fe (0.5000, 0.5000, 0.7701)  4 Be 2.34, 4 Fe 2.47, 4 Ni 2.53
Ni (0.0000, 0.0000, 0.5000)  4 Ni 2.47, 8 Fe 2.53

[2]
BeFeNi2 after structural relaxation. Source: Alexandria, functional PBE.

Properties
SG: Immm (71)

a b c (Å): 2.6178 3.9925 7.7761
angles (deg): 90.00 90.00 90.00
With the nearest neighbours (Å) after each atom.
Atoms (fractional coordinates):
Be (0.0000, 0.0000, 0.0000)  4 Ni 2.20, 4 Fe 2.39
Be (0.5000, 0.5000, 0.5000)  4 Ni 2.20, 4 Fe 2.39
Fe (0.0000, 0.0000, 0.5000)  4 Be 2.39, 8 Ni 2.49-2.67, 2 Fe 2.62
Fe (0.5000, 0.5000, 0.0000)  4 Be 2.39, 8 Ni 2.49-2.67, 2 Fe 2.62
Ni (0.0000, 0.5000, 0.2720)  2 Be 2.20, 4 Ni 2.41
Ni (0.0000, 0.5000, 0.7280)  2 Be 2.20, 4 Ni 2.41
Ni (0.5000, 0.0000, 0.2280)  2 Be 2.20, 4 Ni 2.41
Ni (0.5000, 0.0000, 0.7720)  2 Be 2.20, 4 Ni 2.41

[3]
BeFeNi5 after structural relaxation. Source: Alexandria, functional PBE.

Properties
SG: P4/mmm (123)
Offset from the most stable computed form, eV per formula unit: 0.00

a b c (Å): 3.5673 3.5673 5.9793
angles (deg): 90.00 90.00 90.00
With the nearest neighbours (Å) after each atom.
Atoms (fractional coordinates):
Be (0.0000, 0.0000, 0.0000)  8 Ni 2.18
Fe (0.5000, 0.5000, 0.5000)  12 Ni 2.49-2.52
Ni (0.0000, 0.0000, 0.5000)  8 Ni 2.49, 4 Fe 2.52
Ni (0.0000, 0.5000, 0.2105)  2 Be 2.18
Ni (0.0000, 0.5000, 0.7895)  2 Be 2.18
Ni (0.5000, 0.0000, 0.2105)  2 Be 2.18
Ni (0.5000, 0.0000, 0.7895)  2 Be 2.18

[4]
BeFeNi5 after structural relaxation. Source: Alexandria, functional PBE.

Properties
SG: C2/c (15)
Offset from the most stable computed form, eV per formula unit: 0.67

a b c (Å): 4.7270 4.7270 7.9408
angles (deg): 90.06 90.06 59.39
With the nearest neighbours (Å) after each atom.
Atoms (fractional coordinates):
Be (0.1661, 0.8339, 0.7500)  3 Ni 2.03-2.04
Be (0.8339, 0.1661, 0.2500)  3 Ni 2.03-2.04
Fe (0.5000, 0.5000, 0.0000)  2 Ni 2.26, 2 Be 2.53
Fe (0.5000, 0.5000, 0.5000)  2 Ni 2.26, 2 Be 2.53
Ni (0.1482, 0.1477, 0.0000)  3 Ni 2.34-2.43, 2 Be 2.45-2.46
Ni (0.1477, 0.1482, 0.5000)  3 Ni 2.34-2.43, 2 Be 2.45-2.46
Ni (0.1560, 0.4078, 0.7502)  1 Be 2.04
Ni (0.2683, 0.7317, 0.2500)  1 Be 2.03, 2 Fe 2.26
Ni (0.4078, 0.1560, 0.2502)  1 Be 2.04
Ni (0.5922, 0.8440, 0.7498)  1 Be 2.04
Ni (0.7317, 0.2683, 0.7500)  1 Be 2.03, 2 Fe 2.26
Ni (0.8440, 0.5922, 0.2498)  1 Be 2.04
Ni (0.8518, 0.8523, 0.0000)  3 Ni 2.34-2.43, 2 Be 2.45-2.46
Ni (0.8523, 0.8518, 0.5000)  3 Ni 2.34-2.43, 2 Be 2.45-2.46

Number 1: magnetic moment 1.1988 μB/atom, calculated total energy -0.4936 Ry/atom. Number 2: magnetic moment 0.7915 μB/atom, calculated total energy -0.4461 Ry/atom. Number 3: magnetic moment 0.6662 μB/atom, calculated total energy -0.4344 Ry/atom. Number 4: magnetic moment 0.6863 μB/atom, calculated total energy -0.4274 Ry/atom.